[1]
LaFeAsPb2: relaxed, GGA-PBE.

The total magnetic moment comes out at 1.4 μB/f.u. The calculated formation energy is 1.180 eV per atom. The volume comes out at 169.9 Å³/f.u.

Geometry as POSCAR:
```
LaFeAsPb2
1.0
6.102 0.000 0.000
0.000 6.102 0.000
0.000 0.000 4.563
La Fe As Pb
1 1 1 2
Direct
0.000 0.000 0.000
0.000 0.000 0.500
0.500 0.500 0.500
0.000 0.500 0.000
0.500 0.000 0.000
```

---

[2]
La2FeAs4Pt3: relaxed, GGA-PBE.

The total magnetic moment comes out at 2.2 μB/f.u. The calculated formation energy is -0.869 eV per atom. The volume comes out at 196.6 Å³/f.u.

Geometry as POSCAR:
```
La2FeAs4Pt3
1.0
4.433 0.000 0.000
0.000 4.433 0.000
0.000 0.000 10.001
La Fe As Pt
2 1 4 3
Direct
0.000 0.500 0.249
0.500 0.000 0.751
0.500 0.500 0.000
0.000 0.000 0.500
0.000 0.500 0.875
0.500 0.000 0.125
0.500 0.500 0.500
0.000 0.000 0.000
0.000 0.500 0.623
0.500 0.000 0.377
```

---

| no. | density (Mg/m³) |
| --- | --- |
| 1 | 6.684 |
| 2 | 10.294 |